VASP calculation (SCAN) on a PBEsol-optimized structure of KSiSbO5.

Properties
Its space group is Pna2_1. The calculation puts the uncorrected formation energy at -2.3107 eV per atom. For the total magnetization, the calculation gives 0.000 μB per atom. For the raw total energy, the calculation gives -13.1558 eV per atom.

Geometry as POSCAR:
```
KSiSbO5
1.0
6.5016 0.0000 0.0000
0.0000 10.7029 0.0000
0.0000 0.0000 13.0660
K Si Sb O
8 8 8 40
direct
0.1987 0.5599 0.3920
0.2268 0.8031 0.6207
0.7268 0.3031 0.8793
0.2732 0.8031 0.1207
0.7732 0.3031 0.3793
0.6987 0.0599 0.1080
0.3013 0.5599 0.8920
0.8013 0.0599 0.6080
0.8274 0.7511 0.0001
0.3274 0.2511 0.4999
0.6726 0.7511 0.5001
0.1726 0.2511 0.9999
0.5031 0.5019 0.1818
0.4969 0.0019 0.8182
0.9969 0.5019 0.6818
0.0031 0.0019 0.3182
0.7530 0.7504 0.2523
0.2470 0.2504 0.7477
0.7470 0.7504 0.7523
0.2530 0.2504 0.2477
0.9999 0.5015 0.1188
0.0001 0.0015 0.8812
0.5001 0.5015 0.6188
0.4999 0.0015 0.3812
0.5318 0.8763 0.2714
0.4682 0.3763 0.7286
0.9682 0.8763 0.7714
0.0318 0.3763 0.2286
0.4803 0.1319 0.2739
0.5197 0.6319 0.7261
0.0197 0.1319 0.7739
0.9803 0.6319 0.2261
0.9573 0.8865 0.2386
0.0427 0.3865 0.7614
0.5427 0.8865 0.7386
0.4573 0.3865 0.2614
0.0401 0.1196 0.2392
0.9599 0.6196 0.7608
0.4599 0.1196 0.7392
0.6780 0.7330 0.9006
0.5401 0.6196 0.2608
0.8007 0.4743 0.6076
0.3007 0.9743 0.8924
0.6993 0.4743 0.1076
0.8049 0.0324 0.3915
0.1951 0.5324 0.6085
0.6951 0.0324 0.8915
0.3049 0.5324 0.1085
0.4886 0.1343 0.4876
0.5114 0.6343 0.5124
0.0114 0.1343 0.9876
0.9886 0.6343 0.0124
0.4711 0.3771 0.5085
0.5289 0.8771 0.4915
0.0289 0.3771 0.0085
0.9711 0.8771 0.9915
0.1831 0.2677 0.3978
0.8169 0.7677 0.6022
0.3169 0.2677 0.8978
0.6831 0.7677 0.1022
0.1780 0.2330 0.5994
0.8220 0.7330 0.4006
0.3220 0.2330 0.0994
0.1993 0.9743 0.3924
```